A plane-wave DFT calculation with GGA-PBE was carried out for UNbRh after structural relaxation.

Computed properties:
Electronic total energy, eV per cell: -116.92
Energy above the most stable polymorph in this dataset, meV/atom: 0
ΔE_f, meV/atom: -173.4

a = 14.891 Å, b = 2.914 Å, c = 5.008 Å
α = 90.00°, β = 99.38°, γ = 90.00°
Space group C2/m (No. 12)
One atom of each set of equivalent atoms:
U  0.245  0.000  0.235 [4 per cell]
Nb  0.072  0.500  0.851 [4 per cell]
Rh  0.086  0.000  0.368 [4 per cell]